Entry 1:
CsRbBa2Rh, relaxed, DFT PBE-GGA; ΔH_f (0 K) = 0.10 eV per atom; polymorph energy (0 for the lowest one) = 0 meV per atom; DFT total energy = -12.535 eV per cell; Fermi-level density of states = 4.5 states/eV per cell
1.0
6.145 0.000 0.000
0.000 6.145 0.000
0.000 0.000 7.443
Ba Rb Cs Rh
2 1 1 1
direct
0.000 0.500 0.000 Ba
0.500 0.000 0.000 Ba
0.500 0.500 0.500 Rb
0.000 0.000 0.500 Cs
0.000 0.000 0.000 Rh



Entry 2:
CsRb2BaSb, relaxed, DFT PBE-GGA; DFT total energy = -10.113 eV per cell; raw formation energy = -0.26 eV/atom; Fermi-level density of states = 2.9 states/eV per cell
1.0
-2.013 3.528 6.116
-4.491 -5.547 1.721
5.072 -3.043 3.425
Ba Rb Cs Sb
1 2 1 1
direct
0.000 0.000 0.500 Ba
0.500 0.000 0.000 Rb
0.000 0.500 0.000 Rb
0.500 0.500 0.500 Cs
0.000 0.000 0.000 Sb



Entry 3:
CsRb2BaSe, relaxed, DFT PBE-GGA; DFT total energy = -11.107 eV per cell; raw formation energy = -0.58 eV/atom; Fermi-level density of states = 3.8 states/eV per cell
1.0
-6.413 2.842 1.607
-2.810 -3.003 -5.905
-1.473 -5.221 3.356
Rb Se Ba Cs
2 1 1 1
direct
0.000 0.500 0.000 Rb
0.500 0.000 0.000 Rb
0.000 0.000 0.000 Se
0.000 0.000 0.500 Ba
0.500 0.500 0.500 Cs



Entry 4:
Cs2RbBaTe, relaxed, DFT PBE-GGA; DFT total energy = -10.434 eV per cell; raw formation energy = -0.54 eV/atom; Fermi-level density of states = 3.3 states/eV per cell
1.0
-0.388 -7.220 -2.509
7.625 -0.192 -0.627
0.467 -2.240 6.372
Rb Cs Ba Te
1 2 1 1
direct
0.500 0.500 0.500 Rb
0.500 0.000 0.000 Cs
0.000 0.500 0.000 Cs
0.000 0.000 0.500 Ba
0.000 0.000 0.000 Te



Which formula does entry 1 have?
CsRbBa2Rh



Please write out number 3 again, unchanged.
CsRb2BaSe, relaxed, DFT PBE-GGA; DFT total energy = -11.107 eV per cell; raw formation energy = -0.58 eV/atom; Fermi-level density of states = 3.8 states/eV per cell
1.0
-6.413 2.842 1.607
-2.810 -3.003 -5.905
-1.473 -5.221 3.356
Rb Se Ba Cs
2 1 1 1
direct
0.000 0.500 0.000 Rb
0.500 0.000 0.000 Rb
0.000 0.000 0.000 Se
0.000 0.000 0.500 Ba
0.500 0.500 0.500 Cs



Which of these has the highest Fermi-level density of states?
CsRbBa2Rh



What is the DFT total energy in the third record?
-11.107 eV per cell